Record 1
DFT (PBE) results for crystalline Pm2GaS at its relaxed geometry.

The structure belongs to space group R-3m (No. 166, hexagonal axes); the cell edges are 4.0052, 4.0052 and 22.0350 Å and the angles 90.00°, 90.00° and 120.00°. The inequivalent atoms are Pm at (0.0000, 0.0000, 0.2440), Ga at (0.0000, 0.0000, 0.0000) and S at (0.0000, 0.0000, 0.5000).

As for the formation energy from raw total energies: -123.0 kJ per mole of atoms. The calculation puts the density of states at the Fermi level at 6.09 states/eV/cell. Its total moment is 0.00 μB per atom. For the excess energy over the best structure of this formula in the dataset, the calculation gives 0.24 eV/f.u.

=====

Record 2
DFT (PBE) results for crystalline PmGaS2 at its relaxed geometry.

The structure belongs to space group R-3m (No. 166, hexagonal axes); the cell edges are 3.6653, 3.6653 and 24.5867 Å and the angles 90.00°, 90.00° and 120.00°. The inequivalent atoms are Pm at (0.0000, 0.0000, 0.0000), Ga at (0.0000, 0.0000, 0.5000) and S at (0.0000, 0.0000, 0.1119).

As for the formation energy from raw total energies: -60.7 kJ per mole of atoms. The calculation puts the density of states at the Fermi level at 5.41 states/eV/cell. Its total moment is 0.00 μB per atom.

=====

Record 3
DFT (PBE) results for crystalline PmGa6S8 at its relaxed geometry.

The structure belongs to space group R-3 (No. 148, hexagonal axes); the cell edges are 10.0197, 10.0197 and 11.0187 Å and the angles 90.00°, 90.00° and 120.00°. The inequivalent atoms are Pm at (0.0000, 0.0000, 0.0000), Ga at (0.0735, 0.2173, 0.5989), S at (0.0000, 0.0000, 0.2687) and S at (0.0065, 0.7158, 0.9200).

As for the formation energy from raw total energies: -53.4 kJ per mole of atoms. The calculation puts the density of states at the Fermi level at 28.36 states/eV/cell. Its total moment is 0.00 μB per atom.

=====

Record 4
DFT (PBE) results for crystalline Pm4Ga2S at its relaxed geometry.

The structure belongs to space group C2/m (No. 12); the cell edges are 12.323, 4.263 and 8.708 Å and the angles 90.00°, 124.46° and 90.00°. The inequivalent atoms are Pm at (0.084, 0.000, 0.372), Pm at (0.175, 0.500, 0.086), Ga at (0.119, 0.500, 0.662) and S at (0.000, 0.000, 0.000).

As for the formation energy from raw total energies: -87.7 kJ per mole of atoms. The calculation puts the density of states at the Fermi level at 14.24 states/eV/cell. Its total moment is 0.00 μB per atom. For the excess energy over the best structure of this formula in the dataset, the calculation gives 0.00 eV/f.u.

=====

Record 5
DFT (PBE) results for crystalline PmGaS4 at its relaxed geometry.

The structure belongs to space group P2/c (No. 13); the cell edges are 5.672, 6.994 and 7.225 Å and the angles 90.00°, 93.51° and 90.00°. The inequivalent atoms are Pm at (0.000, 0.222, 0.250), Ga at (0.500, 0.224, 0.750), S at (0.226, 0.074, 0.575) and S at (0.333, 0.447, 0.950).

As for the formation energy from raw total energies: -96.6 kJ per mole of atoms. Its total moment is 0.00 μB per atom.

=====

Record 6
DFT (PBE) results for crystalline Pm3GaS at its relaxed geometry.

The structure belongs to space group P2_1/m (No. 11); the cell edges are 8.078, 4.078 and 8.656 Å and the angles 90.00°, 99.35° and 90.00°. The inequivalent atoms are Pm at (0.074, 0.250, 0.318), Pm at (0.298, 0.250, 0.968), Pm at (0.394, 0.750, 0.630), Ga at (0.340, 0.750, 0.241) and S at (0.156, 0.250, 0.646).

As for the formation energy from raw total energies: -97.2 kJ per mole of atoms. The calculation puts the density of states at the Fermi level at 7.55 states/eV/cell. Its total moment is 0.06 μB per atom.